Entry from the Alexandria database: an optimized crystal structure of CaLa4Os (PBE).

Output
- Energy of formation from the pure elements: -0.0411 eV/atom
- Total moment: 0.00 Bohr magnetons per cell
- Distance to the lowest polymorph of the same formula: 0.000 eV/atom
- Space group: No. 11
- Volume: 35.8 Å³ per atom

Unit cell a=6.3067 b=7.3214 c=9.5155 alpha=90.00 beta=102.43 gamma=90.00
Positions (direct):
Ca 0.2156 0.2500 0.4443
Ca 0.7844 0.7500 0.5557
La 0.1255 0.2500 0.0602
La 0.2118 0.7500 0.3140
La 0.3524 0.5088 0.8032
La 0.3524 0.9912 0.8032
La 0.6476 0.0088 0.1968
La 0.6476 0.4912 0.1968
La 0.7882 0.2500 0.6860
La 0.8745 0.7500 0.9398
Os 0.3301 0.7500 0.0456
Os 0.6699 0.2500 0.9544

=====

Entry from the Alexandria database: an optimized crystal structure of Al2Ga2Fe (PBE).

Output
- Energy of formation from the pure elements: 0.3197 eV/atom
- Total moment: 1.98 Bohr magnetons per cell
- Distance to the lowest polymorph of the same formula: 0.133 eV/atom
- Space group: No. 139
- Volume: 17.0 Å³ per atom

Unit cell a=7.4473 b=7.4473 c=7.4473 alpha=153.00 beta=153.00 gamma=38.56
Positions (direct):
Al 0.0900 0.0900 0.0000
Al 0.9100 0.9100 0.0000
Ga 0.2500 0.7500 0.5000
Ga 0.7500 0.2500 0.5000
Fe 0.5000 0.5000 0.0000

=====

Entry from the Alexandria database: an optimized crystal structure of PmTlP2 (PBE).

Output
- Energy of formation from the pure elements: -0.5921 eV/atom
- Total moment: 0.00 Bohr magnetons per cell
- Distance to the lowest polymorph of the same formula: 0.000 eV/atom
- Space group: No. 123
- Volume: 25.0 Å³ per atom

Unit cell a=3.9296 b=3.9296 c=6.4737 alpha=90.00 beta=90.00 gamma=90.00
Positions (direct):
Pm 0.0000 0.0000 0.0000
Tl 0.0000 0.0000 0.5000
P 0.5000 0.5000 0.1728
P 0.5000 0.5000 0.8272

=====

Entry from the Alexandria database: an optimized crystal structure of Pm4FeAg (PBE).

Output
- Energy of formation from the pure elements: -0.0429 eV/atom
- Total moment: 0.00 Bohr magnetons per cell
- Space group: No. 15
- Volume: 27.5 Å³ per atom

Unit cell a=7.6708 b=7.6708 c=6.2443 alpha=98.92 beta=98.92 gamma=111.13
Positions (direct):
Pm 0.0606 0.7321 0.9628
Pm 0.2109 0.3748 0.5940
Pm 0.2679 0.9394 0.5372
Pm 0.3748 0.2109 0.0940
Pm 0.6252 0.7891 0.9060
Pm 0.7321 0.0606 0.4628
Pm 0.7891 0.6252 0.4060
Pm 0.9394 0.2679 0.0372
Fe 0.0013 0.9987 0.7500
Fe 0.9987 0.0013 0.2500
Ag 0.3723 0.6277 0.2500
Ag 0.6277 0.3723 0.7500